HoIn2PbS4: relaxed, PBE-GGA.

Cell: 3.9989 7.2376 7.3491 Å, 72.06 90.00 90.00°
With the nearest neighbours (Å) after each atom.
Atoms (fractional coordinates):
In (0.0000, 0.0000, 0.0000)  6 S 3.14
Ho (0.0000, 0.5000, 0.5000)  6 S 2.74-2.76
S (0.5000, 0.7226, 0.2866)  2 Ho 2.74, 1 In 2.90, 1 Pb 3.02
In (0.5000, 0.0000, 0.5000)  6 S 2.86-2.90
S (0.0000, 0.7461, 0.7223)  1 Ho 2.76, 2 In 2.86, 2 Pb 3.02
S (0.5000, 0.2774, 0.7134)  2 Ho 2.74, 1 In 2.90, 1 Pb 3.02
S (0.0000, 0.2539, 0.2777)  1 Ho 2.76, 2 In 2.86, 2 Pb 3.02
Pb (0.5000, 0.5000, 0.0000)  6 S 3.02

Computed properties:
**Total magnetization**: 0.00 μB per formula unit
**Formation energy from raw total energies**: -7.106 eV per formula unit
**Theoretical density**: 6.0 Mg/m³
**D(E_F)**: 3.252 states/eV/f.u.